[1]
The following is a PBE-GGA calculation of a relaxed structure of CeBePt2, from Alexandria via LeMat-Bulk.

As for the formation energy: -3.67 eV/f.u.

It has space group P4/nmm (No. 129, origin choice 2), with a = 3.962 Å, b = 3.962 Å, c = 9.183 Å, α = 90.00°, β = 90.00° and γ = 90.00°. Symmetry generates all atoms from Ce at (0.250, 0.250, 0.218), Be at (0.250, 0.250, 0.631), Pt at (0.250, 0.250, 0.884) and Pt at (0.250, 0.750, 0.500).

[2]
The following is a PBE-GGA calculation of a relaxed structure of CeBePt2, from Alexandria via LeMat-Bulk.

As for the formation energy: -3.46 eV/f.u.

It has space group R-3m (No. 166, hexagonal axes), with a = 4.0773 Å, b = 4.0773 Å, c = 15.1817 Å, α = 90.00°, β = 90.00° and γ = 120.00°. Symmetry generates all atoms from Ce at (0.0000, 0.0000, 0.0000), Be at (0.0000, 0.0000, 0.5000) and Pt at (0.0000, 0.0000, 0.2149).

[3]
The following is a PBE-GGA calculation of a relaxed structure of CeBe4SiPt2, from Alexandria via LeMat-Bulk.

The energy relative to the elements, uncorrected is -282 kJ/mol of formula units.

It has space group R-3m (No. 166, hexagonal axes), with a = 3.9411 Å, b = 3.9411 Å, c = 25.0008 Å, α = 90.00°, β = 90.00° and γ = 120.00°. Symmetry generates all atoms from Ce at (0.0000, 0.0000, 0.0000), Be at (0.0000, 0.0000, 0.1257), Be at (0.0000, 0.0000, 0.4103), Si at (0.0000, 0.0000, 0.5000) and Pt at (0.0000, 0.0000, 0.2353).